Material: Ac6Te3Ir2Ru
Method: DFT, PBE
State: optimized geometry Values from VASP.

Geometry as Quantum ESPRESSO input:
```
&SYSTEM
  ibrav = 0, nat = 12, ntyp = 4
/
ATOMIC_SPECIES
Te 127.60 Te.upf
Ru 101.07 Ru.upf
Ac 227.00 Ac.upf
Ir 192.22 Ir.upf
CELL_PARAMETERS angstrom
7.7004 -0.0025 0.0001
-3.8504 6.6686 0.0001
-1.2841 -2.2234 7.8589
ATOMIC_POSITIONS crystal
Te 0.5000 0.5000 0.5000
Te 0.8331 0.1669 0.5000
Te 0.1669 0.8331 0.5000
Ru 0.0000 0.0000 0.0000
Ac 0.9305 0.6008 0.7916
Ac 0.3992 0.0695 0.2084
Ac 0.6008 0.9305 0.7916
Ac 0.7396 0.7396 0.2081
Ac 0.0695 0.3992 0.2084
Ac 0.2604 0.2604 0.7919
Ir 0.3332 0.6668 0.0000
Ir 0.6668 0.3332 0.0000
```

Calculated values
DOS at the Fermi energy ... 5.8 states/eV per cell
Energy relative to the elements, uncorrected ... -1121 kJ/mol of formula units
Symmetry ... C2/m (12)

Material: AcThIrRu
Method: DFT, PBE
State: optimized geometry Values from VASP.

Geometry as Quantum ESPRESSO input:
```
&SYSTEM
  ibrav = 0, nat = 4, ntyp = 4
/
ATOMIC_SPECIES
Ac 227.00 Ac.upf
Ir 192.22 Ir.upf
Th 232.04 Th.upf
Ru 101.07 Ru.upf
CELL_PARAMETERS angstrom
-3.2243 3.7551 -1.3659
-4.7750 0.0958 1.8848
-1.3428 3.5972 3.4087
ATOMIC_POSITIONS crystal
Ac 0.0000 0.0000 0.0000
Ir 0.2500 0.2500 0.2500
Th 0.5000 0.5000 0.5000
Ru 0.7500 0.7500 0.7500
```

Calculated values
DFT total energy ... -7.726 eV per atom
DOS at the Fermi energy ... 4.3 states/eV per cell
Symmetry ... F-43m (216)

Material: Ac8TlIr2Ru
Method: DFT, PBE
State: optimized geometry Values from VASP.

Geometry as Quantum ESPRESSO input:
```
&SYSTEM
  ibrav = 0, nat = 12, ntyp = 4
/
ATOMIC_SPECIES
Ac 227.00 Ac.upf
Tl 204.38 Tl.upf
Ru 101.07 Ru.upf
Ir 192.22 Ir.upf
CELL_PARAMETERS angstrom
-3.0888 2.0848 -6.7806
-6.5131 -2.4852 1.9167
-3.6863 6.2460 3.2598
ATOMIC_POSITIONS crystal
Ac 0.2340 0.7287 0.8313
Ac 0.4047 0.2532 0.5619
Ac 0.7660 0.2713 0.1687
Ac 0.5953 0.7468 0.4381
Ac 0.9011 0.3388 0.7122
Ac 0.7090 0.8071 0.9161
Ac 0.0989 0.6612 0.2878
Ac 0.2910 0.1929 0.0839
Tl 0.0000 0.0000 0.5000
Ru 0.0000 0.0000 0.0000
Ir 0.4497 0.5306 0.1965
Ir 0.5503 0.4694 0.8035
```

Calculated values
DFT total energy ... -5.523 eV per atom
DOS at the Fermi energy ... 10.6 states/eV per cell
Symmetry ... P-1 (2)

Material: AcTmIrRu
Method: DFT, PBE
State: optimized geometry Values from VASP.

Geometry as Quantum ESPRESSO input:
```
&SYSTEM
  ibrav = 0, nat = 4, ntyp = 4
/
ATOMIC_SPECIES
Tm 168.93 Tm.upf
Ir 192.22 Ir.upf
Ac 227.00 Ac.upf
Ru 101.07 Ru.upf
CELL_PARAMETERS angstrom
-1.8079 4.6461 -0.4020
-3.4105 1.0621 -3.5009
-4.7250 0.9682 1.3240
ATOMIC_POSITIONS crystal
Tm 0.0000 0.0000 0.0000
Ir 0.2500 0.2500 0.2500
Ac 0.5000 0.5000 0.5000
Ru 0.7500 0.7500 0.7500
```

Calculated values
DFT total energy ... -7.005 eV per atom
DOS at the Fermi energy ... 2.8 states/eV per cell
Symmetry ... F-43m (216)

Material: AcYIrRu
Method: DFT, PBE
State: optimized geometry Values from VASP.

Geometry as Quantum ESPRESSO input:
```
&SYSTEM
  ibrav = 0, nat = 4, ntyp = 4
/
ATOMIC_SPECIES
Ac 227.00 Ac.upf
Ir 192.22 Ir.upf
Y 88.91 Y.upf
Ru 101.07 Ru.upf
CELL_PARAMETERS angstrom
5.0379 0.0000 0.0000
2.5190 4.3630 0.0000
2.5190 1.4543 4.1135
ATOMIC_POSITIONS crystal
Ac 0.5000 0.5000 0.5000
Ir 0.2500 0.2500 0.2500
Y 0.0000 0.0000 0.0000
Ru 0.7500 0.7500 0.7500
```

Calculated values
DFT total energy ... -7.469 eV per atom
DOS at the Fermi energy ... 2.8 states/eV per cell
Symmetry ... F-43m (216)

Material: Ac2Zn6IrRu
Method: DFT, PBE
State: optimized geometry Values from VASP.

Geometry as Quantum ESPRESSO input:
```
&SYSTEM
  ibrav = 0, nat = 10, ntyp = 4
/
ATOMIC_SPECIES
Ru 101.07 Ru.upf
Zn 65.41 Zn.upf
Ir 192.22 Ir.upf
Ac 227.00 Ac.upf
CELL_PARAMETERS angstrom
6.7493 -0.0009 -0.0093
0.0066 6.7439 -0.0332
3.3774 3.3489 4.7533
ATOMIC_POSITIONS crystal
Ru 0.0000 0.0000 0.0000
Zn 0.2482 0.3392 0.5026
Zn 0.3403 0.2486 0.9087
Zn 0.7518 0.6608 0.4974
Zn 0.6597 0.7514 0.0913
Zn 0.7506 0.2483 0.9079
Zn 0.2494 0.7517 0.0921
Ir 0.5000 0.5000 0.0000
Ac 0.1970 0.8019 0.6061
Ac 0.8030 0.1981 0.3939
```

Calculated values
DFT total energy ... -3.663 eV per atom
DOS at the Fermi energy ... 4.4 states/eV per cell
Symmetry ... C2/m (12)

Material: Ac3Zn6Ir2Ru
Method: DFT, PBE
State: optimized geometry Values from VASP.

Geometry as Quantum ESPRESSO input:
```
&SYSTEM
  ibrav = 0, nat = 12, ntyp = 4
/
ATOMIC_SPECIES
Ir 192.22 Ir.upf
Zn 65.41 Zn.upf
Ru 101.07 Ru.upf
Ac 227.00 Ac.upf
CELL_PARAMETERS angstrom
6.3665 0.0000 0.0000
-3.1832 5.5135 0.0000
0.0000 0.0000 7.9717
ATOMIC_POSITIONS crystal
Ir 0.6667 0.3333 0.8898
Ir 0.3333 0.6667 0.1102
Zn 0.8092 0.1908 0.6482
Zn 0.8092 0.6184 0.6482
Zn 0.1908 0.8092 0.3518
Zn 0.6184 0.8092 0.3518
Zn 0.3816 0.1908 0.6482
Zn 0.1908 0.3816 0.3518
Ru 0.0000 0.0000 0.5000
Ac 0.3333 0.6667 0.7562
Ac 0.0000 0.0000 0.0000
Ac 0.6667 0.3333 0.2438
```

Calculated values
DFT total energy ... -4.070 eV per atom
DOS at the Fermi energy ... 9.5 states/eV per cell
Symmetry ... P-3m1 (164)

Material: Ac6Ir3S2
Method: DFT, PBE
State: optimized geometry Values from VASP.

Geometry as Quantum ESPRESSO input:
```
&SYSTEM
  ibrav = 0, nat = 11, ntyp = 3
/
ATOMIC_SPECIES
Ir 192.22 Ir.upf
Ac 227.00 Ac.upf
S 32.06 S.upf
CELL_PARAMETERS angstrom
-6.9796 -2.0922 -1.8179
-2.4889 -6.8242 1.8979
-4.8192 1.9758 5.7858
ATOMIC_POSITIONS crystal
Ir 0.3310 0.3380 0.0000
Ir 0.6690 0.6620 0.0000
Ir 0.0000 0.0000 0.0000
Ac 0.4102 0.6572 0.7727
Ac 0.2481 0.0000 0.2251
Ac 0.9326 0.6572 0.2273
Ac 0.0674 0.3428 0.7727
Ac 0.5898 0.3428 0.2273
Ac 0.7519 0.0000 0.7749
S 0.8344 0.3312 0.5000
S 0.1656 0.6688 0.5000
```

Calculated values
DOS at the Fermi energy ... 5.9 states/eV per cell
Energy relative to the elements, uncorrected ... -1161 kJ/mol of formula units
Symmetry ... C2/m (12)